Entry 1:
VASP calculation (GGA-PBEsol) on Rb3InIr after structural relaxation.

Lattice parameters (Å, degrees): 6.1745 6.1745 6.1745 90.00 90.00 90.00
Closest atoms and distances in Å follow each position.
Fractional coordinates of all 5 atoms:
Rb 0.0000 0.0000 0.5000  2 Ir 3.09
Rb 0.0000 0.5000 0.0000  2 Ir 3.09
Rb 0.5000 0.0000 0.0000  2 Ir 3.09
In 0.5000 0.5000 0.5000  12 Rb 4.37
Ir 0.0000 0.0000 0.0000  6 Rb 3.09


Entry 2:
VASP calculation (GGA-PBEsol) on InReIr2 after structural relaxation.

Lattice parameters (Å, degrees): 2.8432 4.6058 4.7370 90.00 90.00 90.00
Closest atoms and distances in Å follow each position.
Fractional coordinates of all 4 atoms:
In 0.0000 0.0000 0.0000  4 Ir 2.71, 4 Re 2.76, 2 In 2.84
Re 0.5000 0.0000 0.5000  4 Ir 2.71, 4 In 2.76, 2 Re 2.84
Ir 0.0000 0.5000 0.5000  4 Re 2.71, 6 Ir 2.76-2.84
Ir 0.5000 0.5000 0.0000  4 In 2.71, 6 Ir 2.76-2.84

Output
**Excess energy over the best structure of this formula in the dataset**: 0.0 meV/atom


Entry 3:
VASP calculation (GGA-PBEsol) on InReIr2 after structural relaxation.

Lattice parameters (Å, degrees): 6.3025 6.3025 6.3025 90.00 90.00 90.00
Closest atoms and distances in Å follow each position.
Fractional coordinates of all 16 atoms:
In 0.0000 0.0000 0.0000  8 Ir 2.73
In 0.0000 0.5000 0.5000  8 Ir 2.73
In 0.5000 0.0000 0.5000  8 Ir 2.73
In 0.5000 0.5000 0.0000  8 Ir 2.73
Re 0.0000 0.0000 0.5000  8 Ir 2.73
Re 0.0000 0.5000 0.0000  8 Ir 2.73
Re 0.5000 0.0000 0.0000  8 Ir 2.73
Re 0.5000 0.5000 0.5000  8 Ir 2.73
Ir 0.2500 0.2500 0.2500  4 In 2.73, 4 Re 2.73
Ir 0.2500 0.2500 0.7500  4 In 2.73, 4 Re 2.73
Ir 0.2500 0.7500 0.2500  4 In 2.73, 4 Re 2.73
Ir 0.2500 0.7500 0.7500  4 In 2.73, 4 Re 2.73
Ir 0.7500 0.2500 0.2500  4 In 2.73, 4 Re 2.73
Ir 0.7500 0.2500 0.7500  4 In 2.73, 4 Re 2.73
Ir 0.7500 0.7500 0.2500  4 In 2.73, 4 Re 2.73
Ir 0.7500 0.7500 0.7500  4 In 2.73, 4 Re 2.73

Output
**Excess energy over the best structure of this formula in the dataset**: 64.0 meV/atom


Entry 4:
VASP calculation (GGA-PBEsol) on In2IrRh after structural relaxation.

Lattice parameters (Å, degrees): 3.0830 3.4318 6.1721 90.00 90.00 90.00
Closest atoms and distances in Å follow each position.
Fractional coordinates of all 4 atoms:
In 0.0000 0.0000 0.2480  4 Rh 2.77, 4 Ir 2.78, 3 In 3.06-3.08
In 0.0000 0.0000 0.7520  4 Rh 2.77, 4 Ir 2.78, 3 In 3.06-3.08
Ir 0.5000 0.5000 0.5000  8 In 2.78, 2 Ir 3.08, 2 Rh 3.09
Rh 0.5000 0.5000 0.0000  8 In 2.77, 2 Rh 3.08, 2 Ir 3.09


| no. | ΔH_f (0 K) (kJ/mol of formula units) |
| --- | --- |
| 1 | 449.5 |
| 2 | 167.0 |
| 3 | 191.7 |
| 4 | -95.6 |